This record from the Alexandria database describes a relaxed Tb3In3NiRu2 crystal. The functional is PBE.

Cell and atoms, written as CIF:
```
data_Tb3In3NiRu2
_chemical_formula_sum 'Tb3 In3 Ni1 Ru2'
_cell_length_a 7.5199
_cell_length_b 7.5199
_cell_length_c 3.8709
_cell_angle_alpha 90.00
_cell_angle_beta 90.00
_cell_angle_gamma 120.00
_space_group_name_H-M_alt 'P -6 2 m'
_space_group_IT_number 189
_space_group_name_Hall 'P -6 -2'
loop_
_atom_site_label
_atom_site_type_symbol
_atom_site_fract_x
_atom_site_fract_y
_atom_site_fract_z
_atom_site_occupancy
Tb1 Tb 0.0000 0.5900 0.0000 1
In1 In 0.0000 0.2520 0.5000 1
Ni1 Ni 0.0000 0.0000 0.0000 1
Ru1 Ru 0.3333 0.6667 0.5000 1
```

Computed properties:
**Formation enthalpy at 0 K**: -0.42 eV per atom
**Energy**: -5.583 eV per atom
**V**: 21.06 A^3/atom
**Fermi-level density of states**: 0.908 states/eV/atom